w.
Here is a geometry-optimized Y2HgCl structure from the Alexandria database. Energies are from PBE.

Results
Mass density   6.5 Mg/m³
Symmetry   No. 65

a = 3.5352 Å, b = 3.5352 Å, c = 9.4447 Å
α = 90.00°, β = 90.00°, γ = 116.13°
With the nearest neighbours (Å) after each atom.
Sites, in units of the cell vectors:
Cl  0.5000  0.5000  0.2500  4 Y 2.96
Hg  0.5000  0.5000  0.7500  4 Y 3.07
Y  0.0000  0.0000  0.0074  2 Cl 2.96, 2 Hg 3.07
Y  0.0000  0.0000  0.4926  2 Cl 2.96, 2 Hg 3.07

***

x.
Here is a geometry-optimized Y2HgCl structure from the Alexandria database. Energies are from PBE.

Results
Mass density   6.4 Mg/m³
Symmetry   No. 119

a = 6.7901 Å, b = 6.7901 Å, c = 6.7901 Å
α = 143.98°, β = 143.98°, γ = 51.86°
With the nearest neighbours (Å) after each atom.
Sites, in units of the cell vectors:
Cl  0.5000  0.5000  0.0000  4 Y 2.97
Hg  0.7500  0.2500  0.5000  4 Y 2.97
Y  0.0000  0.0000  0.0000  4 Cl 2.97
Y  0.2500  0.7500  0.5000  4 Hg 2.97

***

Quick one: least stable of them? x

***

w.
Here is a geometry-optimized Re2SbTe structure from the Alexandria database. Energies are from PBE.

Results
Mass density   13.8 Mg/m³
Symmetry   No. 119

a = 5.0645 Å, b = 5.0645 Å, c = 5.0645 Å
α = 129.88°, β = 129.88°, γ = 73.60°
With the nearest neighbours (Å) after each atom.
Sites, in units of the cell vectors:
Re  0.0000  0.0000  0.0000  4 Re 2.95, 4 Te 2.95, 4 Sb 3.03
Re  0.2500  0.7500  0.5000  4 Re 2.95, 4 Sb 2.95, 4 Te 3.03
Sb  0.5000  0.5000  0.0000  4 Te 2.95, 8 Re 2.95-3.03
Te  0.7500  0.2500  0.5000  8 Re 2.95-3.03, 4 Sb 2.95

***

x.
Here is a geometry-optimized Re2SbTe structure from the Alexandria database. Energies are from PBE.

Results
Mass density   14.1 Mg/m³
Symmetry   No. 166

a = 8.5580 Å, b = 8.5580 Å, c = 8.5580 Å
α = 21.42°, β = 21.42°, γ = 21.42°
With the nearest neighbours (Å) after each atom.
Sites, in units of the cell vectors:
Re  0.0005  0.0005  0.0005  3 Te 2.77, 3 Sb 2.79
Re  0.4995  0.4995  0.4995  3 Te 2.77, 3 Sb 2.79
Sb  0.2500  0.2500  0.2500  6 Re 2.79
Te  0.7500  0.7500  0.7500  6 Re 2.77

***

Quick one: least stable of them? w